No. 1
Material: Sr2In6Pt
Method: DFT, PBE-GGA
State: optimized geometry

The space group is P-3m1 (No. 164) and the conventional cell measures 6.7115, 6.7115 and 6.2001 Å, with angles of 90.00, 90.00 and 120.00 degrees. The inequivalent atoms are Sr at (0.3333, 0.6667, 0.1735), In at (0.1728, 0.3455, 0.6906) and Pt at (0.0000, 0.0000, 0.0000).

For the formation energy, the calculation gives -41.1 kJ/mol of atoms. Its calculated total energy is -3.296 eV per atom.

No. 2
Material: Sr2InPt
Method: DFT, PBE-GGA
State: optimized geometry

The space group is P4/mmm (No. 123) and the conventional cell measures 5.3259, 5.3259 and 4.0521 Å, with angles of 90.00, 90.00 and 90.00 degrees. The inequivalent atoms are Sr at (0.0000, 0.5000, 0.0000), In at (0.0000, 0.0000, 0.5000) and Pt at (0.5000, 0.5000, 0.5000).

For the formation energy, the calculation gives -46.2 kJ/mol of atoms. Its calculated total energy is -3.515 eV per atom.

No. 3
Material: Sr3InPt2
Method: DFT, PBE-GGA
State: optimized geometry

The space group is P2_1/c (No. 14) and the conventional cell measures 9.0757, 9.0207 and 11.7733 Å, with angles of 90.00, 127.68 and 90.00 degrees. The inequivalent atoms are Sr at (0.2138, 0.2119, 0.1565), Sr at (0.2362, 0.5243, 0.9476), Sr at (0.2541, 0.5310, 0.4051), In at (0.3157, 0.7149, 0.7151), Pt at (0.0065, 0.2362, 0.8111) and Pt at (0.4655, 0.5037, 0.2678).

For the formation energy, the calculation gives -66.3 kJ/mol of atoms. Its calculated total energy is -3.998 eV per atom.

No. 4
Material: SrIn2Pt2
Method: DFT, PBE-GGA
State: optimized geometry

The space group is P4/mbm (No. 127) and the conventional cell measures 7.9873, 7.9873 and 3.4247 Å, with angles of 90.00, 90.00 and 90.00 degrees. The inequivalent atoms are Sr at (0.0000, 0.0000, 0.0000), In at (0.1512, 0.3488, 0.5000) and Pt at (0.1392, 0.6392, 0.0000).

For the formation energy, the calculation gives -47.2 kJ/mol of atoms. Its calculated total energy is -4.337 eV per atom.

No. 5
Material: Sr3In4Pt4
Method: DFT, PBE-GGA
State: optimized geometry

The space group is Immm (No. 71) and the conventional cell measures 4.4055, 7.9626 and 15.1915 Å, with angles of 90.00, 90.00 and 90.00 degrees. The inequivalent atoms are Sr at (0.0000, 0.0000, 0.0000), Sr at (0.0000, 0.5000, 0.1169), In at (0.0000, 0.3023, 0.3274), Pt at (0.0000, 0.0000, 0.2202) and Pt at (0.0000, 0.1951, 0.5000).

For the formation energy, the calculation gives -72.2 kJ/mol of atoms. Its calculated total energy is -4.400 eV per atom.

No. 6
Material: Sr3In3Pt
Method: DFT, PBE-GGA
State: optimized geometry

The space group is C2/m (No. 12) and the conventional cell measures 12.4909, 4.2907 and 17.1123 Å, with angles of 90.00, 106.42 and 90.00 degrees. The inequivalent atoms are Sr at (0.0153, 0.0000, 0.3882), Sr at (0.1175, 0.0000, 0.9213), Sr at (0.2410, 0.0000, 0.2439), In at (0.0216, 0.5000, 0.2338), In at (0.1053, 0.5000, 0.0792), In at (0.1766, 0.5000, 0.5387) and Pt at (0.2057, 0.5000, 0.3754).

For the formation energy, the calculation gives -54.0 kJ/mol of atoms. Its calculated total energy is -3.318 eV per atom.

No. 7
Material: Sr3In2Pt4
Method: DFT, PBE-GGA
State: optimized geometry

The space group is C2/m (No. 12) and the conventional cell measures 11.0123, 4.6119 and 9.0790 Å, with angles of 90.00, 99.62 and 90.00 degrees. The inequivalent atoms are Sr at (0.0000, 0.0000, 0.0000), Sr at (0.1231, 0.5000, 0.3835), In at (0.1828, 0.5000, 0.7765), Pt at (0.0853, 0.0000, 0.6292) and Pt at (0.2309, 0.5000, 0.0867).

For the formation energy, the calculation gives -74.0 kJ/mol of atoms. Its calculated total energy is -4.621 eV per atom.

No. 8
Material: SrIn2Pt2
Method: DFT, PBE-GGA
State: optimized geometry

The space group is P4/mbm (No. 127) and the conventional cell measures 8.3083, 8.3083 and 3.0732 Å, with angles of 90.00, 90.00 and 90.00 degrees. The inequivalent atoms are Sr at (0.0000, 0.0000, 0.0000), In at (0.1257, 0.3743, 0.0000) and Pt at (0.1729, 0.6729, 0.5000).

For the formation energy, the calculation gives -47.2 kJ/mol of atoms. Its calculated total energy is -4.337 eV per atom.

No. 9
Material: Sr2In12Pt
Method: DFT, PBE-GGA
State: optimized geometry

The space group is P4/nbm (No. 125, origin choice 2) and the conventional cell measures 6.7810, 6.7810 and 18.0224 Å, with angles of 90.00, 90.00 and 90.00 degrees. The inequivalent atoms are Sr at (0.2500, 0.7500, 0.2471), In at (0.9999, 0.0001, 0.0848), In at (0.0825, 0.5825, 0.4309), In at (0.2500, 0.2500, 0.1859), In at (0.2500, 0.2500, 0.3423) and Pt at (0.2500, 0.7500, 0.0000).

For the formation energy, the calculation gives -26.4 kJ/mol of atoms. Its calculated total energy is -3.092 eV per atom.

No. 10
Material: Sr2In2Pt
Method: DFT, PBE-GGA
State: optimized geometry

The space group is P4/mbm (No. 127) and the conventional cell measures 7.4496, 7.4496 and 5.2279 Å, with angles of 90.00, 90.00 and 90.00 degrees. The inequivalent atoms are Sr at (0.1761, 0.3239, 0.0000), In at (0.1398, 0.6398, 0.5000) and Pt at (0.0000, 0.0000, 0.5000).

For the formation energy, the calculation gives -39.3 kJ/mol of atoms. As for the distance to the lowest polymorph of the same formula: 1.047 eV per formula unit. Its calculated total energy is -3.383 eV per atom.

No. 11
Material: Sr2InPt
Method: DFT, PBE-GGA
State: optimized geometry

The space group is Amm2 (No. 38) and the conventional cell measures 4.6786, 4.5812 and 11.7786 Å, with angles of 90.00, 90.00 and 90.00 degrees. The inequivalent atoms are Sr at (0.0000, 0.0000, 0.0000), Sr at (0.5000, 0.0000, 0.2890), In at (0.5000, 0.0000, 0.5859) and Pt at (0.0000, 0.0000, 0.7094).

For the formation energy, the calculation gives -58.2 kJ/mol of atoms. Its calculated total energy is -3.638 eV per atom.

No. 12
Material: SrIn4Pt
Method: DFT, PBE-GGA
State: optimized geometry

The space group is F-43m (No. 216) and the conventional cell measures 8.5677, 8.5677 and 8.5677 Å, with angles of 90.00, 90.00 and 90.00 degrees. The inequivalent atoms are Sr at (0.0000, 0.0000, 0.0000), In at (0.1244, 0.1244, 0.6244) and Pt at (0.2500, 0.2500, 0.2500).

For the formation energy, the calculation gives -0.3 kJ/mol of atoms. Its calculated total energy is -3.116 eV per atom.